Below is crystalline Sm2Si2Tc2C at its relaxed geometry, with properties calculated at the PBE level.

Structure (CIF):
```
data_Sm2Si2Tc2C
_chemical_formula_sum 'Sm2 Si2 Tc2 C1'
_cell_length_a 5.922
_cell_length_b 5.922
_cell_length_c 7.100
_cell_angle_alpha 125.67
_cell_angle_beta 125.67
_cell_angle_gamma 40.08
_symmetry_space_group_name_H-M 'P 1'
_symmetry_Int_Tables_number 1
_symmetry_space_group_name_Hall 'P 1'
loop_
_atom_site_label
_atom_site_fract_x
_atom_site_fract_y
_atom_site_fract_z
Sm1 0.069 0.069 0.300
Sm2 0.931 0.931 0.700
Si1 0.352 0.352 0.302
Si2 0.648 0.648 0.698
Tc1 0.296 0.296 0.908
Tc2 0.704 0.704 0.092
C1 0.500 0.500 0.000
```

Calculated values
Uncorrected formation energy   -0.65 eV/atom
Space-group type   C2/m
E   -7.8309 eV per atom

***

Below is crystalline SmSiTc2C at its relaxed geometry, with properties calculated at the PBE level.

Structure (CIF):
```
data_SmSiTc2C
_chemical_formula_sum 'Sm2 Si2 Tc4 C2'
_cell_length_a 5.838
_cell_length_b 5.838
_cell_length_c 7.354
_cell_angle_alpha 90.00
_cell_angle_beta 90.00
_cell_angle_gamma 140.57
_symmetry_space_group_name_H-M 'P 1'
_symmetry_Int_Tables_number 1
_symmetry_space_group_name_Hall 'P 1'
loop_
_atom_site_label
_atom_site_fract_x
_atom_site_fract_y
_atom_site_fract_z
Sm1 0.044 0.956 0.750
Sm2 0.956 0.044 0.250
Si1 0.233 0.767 0.250
Si2 0.767 0.233 0.750
Tc1 0.328 0.672 0.559
Tc2 0.328 0.672 0.941
Tc3 0.672 0.328 0.059
Tc4 0.672 0.328 0.441
C1 0.500 0.500 0.000
C2 0.500 0.500 0.500
```

Calculated values
Uncorrected formation energy   -0.51 eV/atom
Space-group type   Cmcm
E   -8.5280 eV per atom

***

Below is crystalline SmU2SiC4 at its relaxed geometry, with properties calculated at the PBE level.

Structure (CIF):
```
data_SmU2SiC4
_chemical_formula_sum 'Sm2 U4 Si2 C8'
_cell_length_a 5.992
_cell_length_b 5.992
_cell_length_c 11.566
_cell_angle_alpha 90.00
_cell_angle_beta 90.00
_cell_angle_gamma 145.57
_symmetry_space_group_name_H-M 'P 1'
_symmetry_Int_Tables_number 1
_symmetry_space_group_name_Hall 'P 1'
loop_
_atom_site_label
_atom_site_fract_x
_atom_site_fract_y
_atom_site_fract_z
Sm1 0.104 0.896 0.750
Sm2 0.896 0.104 0.250
U1 0.372 0.628 0.550
U2 0.372 0.628 0.950
U3 0.628 0.372 0.050
U4 0.628 0.372 0.450
Si1 0.163 0.837 0.250
Si2 0.837 0.163 0.750
C1 0.000 0.000 0.000
C2 0.000 0.000 0.500
C3 0.261 0.739 0.121
C4 0.261 0.739 0.379
C5 0.424 0.576 0.750
C6 0.576 0.424 0.250
C7 0.739 0.261 0.621
C8 0.739 0.261 0.879
```

Calculated values
Uncorrected formation energy   -0.14 eV/atom
Space-group type   Cmcm
E   -8.8414 eV per atom

***

Below is crystalline SiSnC3 at its relaxed geometry, with properties calculated at the PBE level.

Structure (CIF):
```
data_SiSnC3
_chemical_formula_sum 'Si1 Sn1 C3'
_cell_length_a 3.870
_cell_length_b 3.870
_cell_length_c 3.870
_cell_angle_alpha 90.00
_cell_angle_beta 90.00
_cell_angle_gamma 90.00
_symmetry_space_group_name_H-M 'P 1'
_symmetry_Int_Tables_number 1
_symmetry_space_group_name_Hall 'P 1'
loop_
_atom_site_label
_atom_site_fract_x
_atom_site_fract_y
_atom_site_fract_z
Si1 0.000 0.000 0.000
Sn1 0.500 0.500 0.500
C1 0.000 0.000 0.500
C2 0.000 0.500 0.000
C3 0.500 0.000 0.000
```

Calculated values
Uncorrected formation energy   1.90 eV/atom
Offset from the most stable computed form   0.000 eV per atom
Space-group type   Pm-3m
E   -5.5158 eV per atom

***

Below is crystalline SiSnC2 at its relaxed geometry, with properties calculated at the PBE level.

Structure (CIF):
```
data_SiSnC2
_chemical_formula_sum 'Si1 Sn1 C2'
_cell_length_a 4.104
_cell_length_b 4.104
_cell_length_c 4.104
_cell_angle_alpha 60.00
_cell_angle_beta 60.00
_cell_angle_gamma 60.00
_symmetry_space_group_name_H-M 'P 1'
_symmetry_Int_Tables_number 1
_symmetry_space_group_name_Hall 'P 1'
loop_
_atom_site_label
_atom_site_fract_x
_atom_site_fract_y
_atom_site_fract_z
Si1 0.000 0.000 0.000
Sn1 0.500 0.500 0.500
C1 0.250 0.250 0.250
C2 0.750 0.750 0.750
```

Calculated values
Uncorrected formation energy   2.13 eV/atom
Offset from the most stable computed form   1.785 eV per atom
Space-group type   Fm-3m
E   -4.8433 eV per atom

***

Below is crystalline Si2SnC at its relaxed geometry, with properties calculated at the PBE level.

Structure (CIF):
```
data_Si2SnC
_chemical_formula_sum 'Si4 Sn2 C2'
_cell_length_a 6.174
_cell_length_b 6.174
_cell_length_c 6.174
_cell_angle_alpha 129.35
_cell_angle_beta 129.35
_cell_angle_gamma 74.45
_symmetry_space_group_name_H-M 'P 1'
_symmetry_Int_Tables_number 1
_symmetry_space_group_name_Hall 'P 1'
loop_
_atom_site_label
_atom_site_fract_x
_atom_site_fract_y
_atom_site_fract_z
Si1 0.025 0.625 0.900
Si2 0.375 0.275 0.400
Si3 0.725 0.125 0.100
Si4 0.875 0.975 0.600
Sn1 0.250 0.750 0.500
Sn2 0.500 0.500 0.000
C1 0.000 0.000 0.000
C2 0.750 0.250 0.500
```

Calculated values
Uncorrected formation energy   0.36 eV/atom
Offset from the most stable computed form   0.000 eV per atom
Space-group type   I-42d
E   -5.6552 eV per atom

***

Below is crystalline Si3SnC at its relaxed geometry, with properties calculated at the PBE level.

Structure (CIF):
```
data_Si3SnC
_chemical_formula_sum 'Si3 Sn1 C1'
_cell_length_a 4.227
_cell_length_b 4.227
_cell_length_c 4.227
_cell_angle_alpha 90.00
_cell_angle_beta 90.00
_cell_angle_gamma 90.00
_symmetry_space_group_name_H-M 'P 1'
_symmetry_Int_Tables_number 1
_symmetry_space_group_name_Hall 'P 1'
loop_
_atom_site_label
_atom_site_fract_x
_atom_site_fract_y
_atom_site_fract_z
Si1 0.000 0.000 0.500
Si2 0.000 0.500 0.000
Si3 0.500 0.000 0.000
Sn1 0.500 0.500 0.500
C1 0.000 0.000 0.000
```

Calculated values
Uncorrected formation energy   0.91 eV/atom
Offset from the most stable computed form   0.000 eV per atom
Space-group type   Pm-3m
E   -4.9928 eV per atom

***

Below is crystalline Si3SnC at its relaxed geometry, with properties calculated at the PBE level.

Structure (CIF):
```
data_Si3SnC
_chemical_formula_sum 'Si3 Sn1 C1'
_cell_length_a 5.131
_cell_length_b 5.131
_cell_length_c 5.131
_cell_angle_alpha 90.00
_cell_angle_beta 90.00
_cell_angle_gamma 90.00
_symmetry_space_group_name_H-M 'P 1'
_symmetry_Int_Tables_number 1
_symmetry_space_group_name_Hall 'P 1'
loop_
_atom_site_label
_atom_site_fract_x
_atom_site_fract_y
_atom_site_fract_z
Si1 0.000 0.000 0.500
Si2 0.000 0.500 0.000
Si3 0.500 0.000 0.000
Sn1 0.000 0.000 0.000
C1 0.500 0.500 0.500
```

Calculated values
Uncorrected formation energy   2.59 eV/atom
Offset from the most stable computed form   1.689 eV per atom
Space-group type   Pm-3m
E   -3.3042 eV per atom

***

Below is crystalline SiSn3C at its relaxed geometry, with properties calculated at the PBE level.

Structure (CIF):
```
data_SiSn3C
_chemical_formula_sum 'Si1 Sn3 C1'
_cell_length_a 4.760
_cell_length_b 4.760
_cell_length_c 4.760
_cell_angle_alpha 90.00
_cell_angle_beta 90.00
_cell_angle_gamma 90.00
_symmetry_space_group_name_H-M 'P 1'
_symmetry_Int_Tables_number 1
_symmetry_space_group_name_Hall 'P 1'
loop_
_atom_site_label
_atom_site_fract_x
_atom_site_fract_y
_atom_site_fract_z
Si1 0.000 0.000 0.000
Sn1 0.000 0.500 0.500
Sn2 0.500 0.000 0.500
Sn3 0.500 0.500 0.000
C1 0.500 0.500 0.500
```

Calculated values
Uncorrected formation energy   0.98 eV/atom
Offset from the most stable computed form   0.000 eV per atom
Space-group type   Pm-3m
E   -4.3480 eV per atom

***

Below is crystalline SiSnC3 at its relaxed geometry, with properties calculated at the PBE level.

Structure (CIF):
```
data_SiSnC3
_chemical_formula_sum 'Si1 Sn1 C3'
_cell_length_a 4.301
_cell_length_b 4.301
_cell_length_c 4.301
_cell_angle_alpha 90.00
_cell_angle_beta 90.00
_cell_angle_gamma 90.00
_symmetry_space_group_name_H-M 'P 1'
_symmetry_Int_Tables_number 1
_symmetry_space_group_name_Hall 'P 1'
loop_
_atom_site_label
_atom_site_fract_x
_atom_site_fract_y
_atom_site_fract_z
Si1 0.000 0.000 0.000
Sn1 0.500 0.500 0.500
C1 0.000 0.500 0.500
C2 0.500 0.000 0.500
C3 0.500 0.500 0.000
```

Calculated values
Uncorrected formation energy   3.13 eV/atom
Offset from the most stable computed form   1.227 eV per atom
Space-group type   Pm-3m
E   -4.2890 eV per atom

***

Below is crystalline SiSn2C at its relaxed geometry, with properties calculated at the PBE level.

Structure (CIF):
```
data_SiSn2C
_chemical_formula_sum 'Si2 Sn4 C2'
_cell_length_a 6.757
_cell_length_b 6.757
_cell_length_c 6.757
_cell_angle_alpha 130.88
_cell_angle_beta 130.88
_cell_angle_gamma 72.01
_symmetry_space_group_name_H-M 'P 1'
_symmetry_Int_Tables_number 1
_symmetry_space_group_name_Hall 'P 1'
loop_
_atom_site_label
_atom_site_fract_x
_atom_site_fract_y
_atom_site_fract_z
Si1 0.000 0.000 0.000
Si2 0.750 0.250 0.500
Sn1 0.179 0.625 0.054
Sn2 0.375 0.429 0.554
Sn3 0.571 0.125 0.946
Sn4 0.875 0.821 0.446
C1 0.250 0.750 0.500
C2 0.500 0.500 0.000
```

Calculated values
Uncorrected formation energy   0.60 eV/atom
Offset from the most stable computed form   0.000 eV per atom
Space-group type   I-42d
E   -5.0681 eV per atom

***

Below is crystalline Si2SnC at its relaxed geometry, with properties calculated at the PBE level.

Structure (CIF):
```
data_Si2SnC
_chemical_formula_sum 'Si2 Sn1 C1'
_cell_length_a 4.515
_cell_length_b 4.515
_cell_length_c 4.515
_cell_angle_alpha 60.00
_cell_angle_beta 60.00
_cell_angle_gamma 60.00
_symmetry_space_group_name_H-M 'P 1'
_symmetry_Int_Tables_number 1
_symmetry_space_group_name_Hall 'P 1'
loop_
_atom_site_label
_atom_site_fract_x
_atom_site_fract_y
_atom_site_fract_z
Si1 0.250 0.250 0.250
Si2 0.750 0.750 0.750
Sn1 0.000 0.000 0.000
C1 0.500 0.500 0.500
```

Calculated values
Uncorrected formation energy   1.67 eV/atom
Offset from the most stable computed form   1.310 eV per atom
Space-group type   Fm-3m
E   -4.3454 eV per atom